Compound: LiCuP2
Source: Alexandria
Functional: SCAN
Structure: single point on PBEsol structure

The structure belongs to space group R-3m (No. 166, hexagonal axes); the cell edges are 2.8371, 2.8371 and 22.7316 Å and the angles 90.00°, 90.00° and 120.00°. The asymmetric unit holds Li at (0.0000, 0.0000, 0.0000), Cu at (0.0000, 0.0000, 0.5000) and P at (0.0000, 0.0000, 0.2463).

Its energy of formation from the pure elements is 0.02 eV per atom.